An optimized crystal structure of Hf4InGaAs2, computed with PBE.

a = 3.625 Å, b = 3.625 Å, c = 14.791 Å
α = 90.00°, β = 90.00°, γ = 120.00°
Element x y z (fractional)
Hf (0.000, 0.000, 0.153)
Hf (0.333, 0.667, 0.632)
Hf (0.000, 0.000, 0.847)
Hf (0.333, 0.667, 0.368)
Ga (0.000, 0.000, 0.500)
In (0.333, 0.667, 0.000)
As (0.667, 0.333, 0.740)
As (0.667, 0.333, 0.260)

Values from the calculation:
As for the space-group type: P-6m2, No. 187. The value obtained for the calculated density is 10.34 g cm⁻³. The energy is -7.4224 eV/atom.